No. 1
Si2BCl | GGA-PBEsol | relaxed

Results
- ΔE_f (raw) (meV per atom) = 990
- space-group type = Fm-3m

The structure in extended XYZ format:
```
4
Lattice="4.222 0.000 0.000 2.111 3.656 0.000 2.111 1.219 3.447" Properties=species:S:1:pos:R:3 pbc="T T T"
Si 2.111 1.219 0.862
Si 6.333 3.656 2.585
B 0.000 0.000 0.000
Cl 4.222 2.437 1.724
```



No. 2
Li3BiP2O8 | GGA-PBEsol | relaxed

Results
- ΔE_f (raw) (meV per atom) = -2169
- space-group type = C2/c

The structure in extended XYZ format:
```
28
Lattice="4.652 0.000 0.000 -2.326 4.521 -0.022 0.000 -1.970 14.958" Properties=species:S:1:pos:R:3 pbc="T T T"
Li 2.106 1.193 2.680
Li 2.546 0.208 10.159
Li -0.220 2.342 4.777
Li 0.220 1.357 12.257
Li 4.368 -0.493 3.740
Li 0.284 -1.478 11.219
Bi 0.000 0.000 0.000
Bi 0.000 -0.985 7.479
P 2.121 0.672 5.576
P 2.531 -0.314 13.055
P -0.205 2.864 1.882
P 0.205 1.879 9.361
O 1.076 -0.464 5.262
O 3.576 -1.450 12.741
O 2.867 0.252 6.842
O 1.785 -0.733 14.321
O 3.072 0.888 4.376
O 3.682 1.545 1.584
O 1.580 -0.097 11.855
O 0.970 0.560 9.063
O 1.356 1.991 5.873
O 0.746 2.647 3.081
O -1.356 1.005 13.352
O -0.746 1.662 10.560
O 0.541 3.284 0.615
O -0.541 2.298 8.094
O -1.250 4.000 2.195
O 1.250 3.015 9.674
```



No. 3
NiAsW2 | GGA-PBEsol | relaxed

Results
- space-group type = Pm
- uncorrected energy (eV/cell) = -38.352

The structure in extended XYZ format:
```
4
Lattice="2.838 0.000 -0.018 0.000 4.065 0.000 -1.248 0.000 4.856" Properties=species:S:1:pos:R:3 pbc="T T T"
As 0.275 0.000 2.474
Ni 0.263 2.033 3.603
W -1.154 0.000 4.761
W 1.753 2.033 1.275
```



No. 4
Y4Ti2Nb2O15 | GGA-PBEsol | relaxed

Results
- ΔE_f (raw) (meV per atom) = -3209
- space-group type = Imm2

The structure in extended XYZ format:
```
23
Lattice="7.113 0.000 0.000 3.556 6.262 -0.004 3.556 2.044 5.919" Properties=species:S:1:pos:R:3 pbc="T T T"
Y 8.877 2.119 1.509
Y 5.348 2.119 1.509
Y 7.113 3.136 4.401
Y 7.113 5.185 1.524
Ti 8.791 6.325 4.504
Ti 5.434 6.325 4.504
Nb 3.556 5.242 1.385
Nb 3.556 3.024 4.501
O 3.556 1.024 0.730
O 7.113 3.157 2.248
O 7.113 0.954 0.679
O 7.113 5.417 3.857
O 9.020 1.919 3.771
O 5.205 4.191 0.580
O 5.205 1.919 3.771
O 9.020 4.191 0.580
O 3.556 3.497 2.490
O 10.669 6.801 4.843
O 5.007 4.311 4.839
O 9.219 5.982 2.492
O 9.219 4.311 4.839
O 5.007 5.982 2.492
O 7.113 7.350 5.234
```



No. 5
MgBPS2 | GGA-PBEsol | relaxed

Results
- ΔE_f (raw) (meV per atom) = 1427
- space-group type = P4/mmm

The structure in extended XYZ format:
```
5
Lattice="-0.477 4.536 1.085 -4.573 -0.241 -1.005 -0.929 -1.176 4.508" Properties=species:S:1:pos:R:3 pbc="T T T"
P -0.465 -0.588 2.254
S -2.286 -0.120 -0.503
S -0.239 2.268 0.543
B -2.990 1.559 2.294
Mg 0.000 0.000 0.000
```



No. 6
HgPtCl2 | GGA-PBEsol | relaxed

Results
- ΔE_f (raw) (meV per atom) = -147
- space-group type = P2/m

The structure in extended XYZ format:
```
4
Lattice="3.388 0.000 0.000 0.000 3.368 0.066 0.000 -0.211 8.460" Properties=species:S:1:pos:R:3 pbc="T T T"
Hg 1.694 -0.106 4.230
Pt 1.694 1.684 0.033
Cl 0.000 1.515 6.940
Cl 0.000 1.642 1.586
```